1.
Material: SmPaAlZn
Method: DFT, PBE-GGA
State: relaxed

Total energy   -19.449 eV per cell
Space-group type   F-43m (216)
Energy relative to the elements   -0.05 eV/atom

Cell: 5.105 5.105 5.105 Å, 60.00 60.00 60.00°
Site moments in Bohr magnetons follow the coordinates.
Element x y z (fractional)
Zn 0.250 0.250 0.250  0.01
Pa 0.500 0.500 0.500  0.62
Al 0.750 0.750 0.750  0.01
Sm 0.000 0.000 0.000  0.03



2.
Material: CsNa2ICl4
Method: DFT, PBE-GGA
State: relaxed

Total energy   -46.864 eV per cell
Space-group type   C2/c (15)
ΔE_f (raw)   -1.375 eV/atom

Cell: 8.907 8.907 9.044 Å, 114.87 114.87 97.47°
Element x y z (fractional)
Cs 0.000 0.500 0.000
Cs 0.000 0.500 0.500
Na 0.500 0.000 0.000
Na 0.500 0.000 0.500
Na 0.000 0.000 0.500
Na 0.500 0.500 0.000
I 0.500 0.500 0.500
I 0.000 0.000 0.000
Cl 0.326 0.720 0.983
Cl 0.780 0.174 0.517
Cl 0.220 0.826 0.483
Cl 0.674 0.280 0.017
Cl 0.802 0.863 0.089
Cl 0.637 0.698 0.411
Cl 0.363 0.302 0.589
Cl 0.198 0.137 0.911



3.
Material: PuNpPaBi
Method: DFT, PBE-GGA
State: relaxed

Total energy   -39.484 eV per cell
Space-group type   F-43m (216)
Energy relative to the elements   0.29 eV/atom

Cell: 5.224 5.224 5.224 Å, 60.00 60.00 60.00°
Site moments in Bohr magnetons follow the coordinates.
Element x y z (fractional)
Np 0.750 0.750 0.750  -3.57
Pa 0.000 0.000 0.000  -0.73
Bi 0.250 0.250 0.250  0.05
Pu 0.500 0.500 0.500  5.11



4.
Material: CsZn4In3Br12
Method: DFT, PBE-GGA
State: relaxed

Total energy   -51.525 eV per cell
Space-group type   R32 (155)
ΔE_f (raw)   -0.864 eV/atom

Cell: 10.010 10.010 10.010 Å, 103.11 103.11 103.11°
Element x y z (fractional)
Cs 0.000 0.000 0.000
Zn 0.950 0.050 0.500
Zn 0.050 0.500 0.950
Zn 0.500 0.950 0.050
Zn 0.500 0.500 0.500
In 0.543 0.457 0.000
In 0.457 0.000 0.543
In 0.000 0.543 0.457
Br 0.500 0.350 0.650
Br 0.900 0.500 0.100
Br 0.100 0.900 0.500
Br 0.500 0.100 0.900
Br 0.344 0.948 0.194
Br 0.194 0.344 0.948
Br 0.948 0.194 0.344
Br 0.656 0.806 0.052
Br 0.052 0.656 0.806
Br 0.806 0.052 0.656
Br 0.650 0.500 0.350
Br 0.350 0.650 0.500



What is the total energy in the first record?
-19.449 eV per cell



total energy of number 2 (CsNa2ICl4)?
-46.864 eV per cell